[1]
Compound: NdDy12Y6
Source: Alexandria via LeMat-Bulk
Functional: PBE-GGA
Structure: optimized geometry

Calculated values
* E_form: 157.6 meV per atom
* E above lowest polymorph: 0 meV/atom
* magnetization: 0.003 μB per cell

Cell lengths 11.9582, 11.9582, 15.1095 Å; angles 90.00, 90.00, 120.00 degrees
Space group R-3 (No. 148, hexagonal axes)
Symmetry-distinct sites (fractional):
1 Nd 0.0000 0.0000 0.0000 (multiplicity 3)
2 Dy 0.0195 0.1814 0.1923 (multiplicity 18)
3 Dy 0.0405 0.1890 0.4164 (multiplicity 18)
4 Y 0.0080 0.5867 0.6792 (multiplicity 18)

[2]
Compound: Nd2Dy5Y12
Source: Alexandria via LeMat-Bulk
Functional: PBE-GGA
Structure: optimized geometry

Calculated values
* E_form: 129.8 meV per atom
* E above lowest polymorph: 16 meV/atom
* magnetization: 0.000 μB per cell

Cell lengths 15.6896, 9.3411, 8.6021 Å; angles 90.00, 91.46, 90.00 degrees
Space group C2/m (No. 12)
Symmetry-distinct sites (fractional):
1 Nd 0.0000 0.1795 0.0000 (multiplicity 4)
2 Dy 0.0000 0.5000 0.5000 (multiplicity 2)
3 Dy 0.1996 0.0000 0.0133 (multiplicity 4)
4 Dy 0.2311 0.5000 0.5750 (multiplicity 4)
5 Y 0.0577 0.0000 0.3298 (multiplicity 4)
6 Y 0.0872 0.5000 0.8782 (multiplicity 4)
7 Y 0.1278 0.1914 0.6560 (multiplicity 8)
8 Y 0.1537 0.3205 0.2411 (multiplicity 8)

[3]
Compound: Nd2Dy8Y
Source: Alexandria via LeMat-Bulk
Functional: PBE-GGA
Structure: optimized geometry

Calculated values
* E_form: 153.4 meV per atom
* E above lowest polymorph: 0 meV/atom
* magnetization: 0.000 μB per cell

Cell lengths 9.0669, 16.1566, 5.9171 Å; angles 90.00, 123.44, 90.00 degrees
Space group C2/m (No. 12)
Symmetry-distinct sites (fractional):
1 Nd 0.0000 0.1927 0.0000 (multiplicity 4)
2 Dy 0.0000 0.2929 0.5000 (multiplicity 4)
3 Dy 0.0711 0.0000 0.2957 (multiplicity 4)
4 Dy 0.2146 0.3838 0.1761 (multiplicity 8)
5 Y 0.0000 0.5000 0.5000 (multiplicity 2)

[4]
Compound: Nd2Dy7Y3
Source: Alexandria via LeMat-Bulk
Functional: PBE-GGA
Structure: optimized geometry

Calculated values
* E_form: 75.0 meV per atom
* E above lowest polymorph: 0 meV/atom
* magnetization: 0.000 μB per cell

Cell lengths 6.3583, 3.5304, 17.4995 Å; angles 90.00, 96.09, 90.00 degrees
Space group P2/m (No. 10)
Symmetry-distinct sites (fractional):
1 Nd 0.0580 0.0000 0.1728 (multiplicity 2)
2 Dy 0.0000 0.5000 0.5000 (multiplicity 1)
3 Dy 0.2272 0.0000 0.6662 (multiplicity 2)
4 Dy 0.2563 0.0000 0.9987 (multiplicity 2)
5 Dy 0.2732 0.5000 0.3362 (multiplicity 2)
6 Y 0.4526 0.5000 0.8420 (multiplicity 2)
7 Y 0.5000 0.0000 0.5000 (multiplicity 1)

[5]
Compound: NdDy2Y7
Source: Alexandria via LeMat-Bulk
Functional: PBE-GGA
Structure: optimized geometry

Calculated values
* E_form: 693.9 meV per atom
* E above lowest polymorph: 579 meV/atom
* magnetization: 0.000 μB per cell

Cell lengths 8.8327, 15.9445, 5.6704 Å; angles 90.00, 90.00, 90.00 degrees
Space group Cmmm (No. 65)
Symmetry-distinct sites (fractional):
1 Nd 0.0000 0.0000 0.0000 (multiplicity 2)
2 Dy 0.0000 0.2969 0.5000 (multiplicity 4)
3 Y 0.0000 0.2236 0.0000 (multiplicity 4)
4 Y 0.0000 0.5000 0.5000 (multiplicity 2)
5 Y 0.1775 0.1170 0.5000 (multiplicity 8)

[6]
Compound: Nd2DyY12
Source: Alexandria via LeMat-Bulk
Functional: PBE-GGA
Structure: optimized geometry

Calculated values
* E_form: 167.2 meV per atom
* magnetization: 0.007 μB per cell

Cell lengths 7.0890, 11.4123, 24.9040 Å; angles 90.00, 90.00, 90.00 degrees
Space group Cmme (No. 67)
Symmetry-distinct sites (fractional):
1 Nd 0.0000 0.2500 0.2302 (multiplicity 4)
2 Nd 0.0000 0.2500 0.7651 (multiplicity 4)
3 Dy 0.0000 0.2500 0.4999 (multiplicity 4)
4 Y 0.0000 0.9996 0.4236 (multiplicity 8)
5 Y 0.0000 0.0139 0.0608 (multiplicity 8)
6 Y 0.2391 0.2500 0.9153 (multiplicity 8)
7 Y 0.2500 0.0000 0.1726 (multiplicity 8)
8 Y 0.2500 0.0000 0.3017 (multiplicity 8)
9 Y 0.2496 0.2500 0.3741 (multiplicity 8)

[7]
Compound: Nd4DyY3
Source: Alexandria via LeMat-Bulk
Functional: PBE-GGA
Structure: optimized geometry

Calculated values
* E_form: 164.5 meV per atom
* E above lowest polymorph: 141 meV/atom
* magnetization: 0.000 μB per cell

Cell lengths 23.7789, 3.4988, 6.8574 Å; angles 90.00, 106.40, 90.00 degrees
Space group C2/m (No. 12)
Symmetry-distinct sites (fractional):
1 Nd 0.1236 0.0000 0.3688 (multiplicity 4)
2 Nd 0.2405 0.5000 0.2374 (multiplicity 4)
3 Dy 0.0000 0.5000 0.0000 (multiplicity 2)
4 Y 0.0000 0.0000 0.5000 (multiplicity 2)
5 Y 0.1228 0.0000 0.8814 (multiplicity 4)

[8]
Compound: Nd2Dy3Y7
Source: Alexandria via LeMat-Bulk
Functional: PBE-GGA
Structure: optimized geometry

Calculated values
* E_form: 156.4 meV per atom
* E above lowest polymorph: 68 meV/atom
* magnetization: 0.003 μB per cell

Cell lengths 5.8620, 37.8316, 3.6119 Å; angles 90.00, 90.00, 90.00 degrees
Space group Cmmm (No. 65)
Symmetry-distinct sites (fractional):
1 Nd 0.0000 0.1752 0.0000 (multiplicity 4)
2 Dy 0.0000 0.3512 0.5000 (multiplicity 4)
3 Dy 0.0000 0.5000 0.5000 (multiplicity 2)
4 Y 0.0000 0.0000 0.0000 (multiplicity 2)
5 Y 0.0000 0.0886 0.5000 (multiplicity 4)
6 Y 0.0000 0.2715 0.0000 (multiplicity 4)
7 Y 0.0000 0.4281 0.0000 (multiplicity 4)